1.
# KTb2AgO4 PBE-GGA optimized geometry
# - Raw formation energy: -2.333 eV per atom
# - M_tot: 0.00 μB/f.u.
# - N(E_F): 0.00 states/eV/atom
data_KTb2AgO4
_chemical_formula_sum 'K4 Tb8 Ag4 O16'
_cell_length_a 3.5795
_cell_length_b 12.0589
_cell_length_c 12.3578
_cell_angle_alpha 90.00
_cell_angle_beta 90.00
_cell_angle_gamma 90.00
_symmetry_space_group_name_H-M 'C m c m'
_symmetry_Int_Tables_number 63
_symmetry_space_group_name_Hall '-C 2c 2'
loop_
_atom_site_label
_atom_site_type_symbol
_atom_site_fract_x
_atom_site_fract_y
_atom_site_fract_z
K1 K 0.0000 0.0650 0.2500
Tb1 Tb 0.0000 0.3678 0.0627
Ag1 Ag 0.0000 0.2285 0.7500
O1 O 0.0000 0.0000 0.0000
O2 O 0.0000 0.2473 0.5811
O3 O 0.0000 0.4136 0.2500


2.
# HfAgHg2Ge PBE-GGA optimized geometry
# - M_tot: 0.00 μB/f.u.
# - Formation enthalpy at 0 K: 630 meV/atom
# - N(E_F): 0.67 states/eV/atom
data_HfAgHg2Ge
_chemical_formula_sum 'Hf1 Ag1 Hg2 Ge1'
_cell_length_a 5.0506
_cell_length_b 5.0506
_cell_length_c 5.1218
_cell_angle_alpha 90.00
_cell_angle_beta 90.00
_cell_angle_gamma 90.00
_symmetry_space_group_name_H-M 'P 4/m m m'
_symmetry_Int_Tables_number 123
_symmetry_space_group_name_Hall '-P 4 2'
loop_
_atom_site_label
_atom_site_type_symbol
_atom_site_fract_x
_atom_site_fract_y
_atom_site_fract_z
Hf1 Hf 0.0000 0.0000 0.0000
Ag1 Ag 0.5000 0.5000 0.0000
Hg1 Hg 0.0000 0.5000 0.5000
Ge1 Ge 0.0000 0.0000 0.5000


3.
# Ba3Mo PBE-GGA optimized geometry
# - M_tot: 3.48 μB/f.u.
# - Formation enthalpy at 0 K: 1017 meV/atom
# - N(E_F): 1.02 states/eV/atom
data_Ba3Mo
_chemical_formula_sum 'Ba9 Mo3'
_cell_length_a 12.4147
_cell_length_b 12.4147
_cell_length_c 3.9700
_cell_angle_alpha 90.00
_cell_angle_beta 90.00
_cell_angle_gamma 120.00
_symmetry_space_group_name_H-M 'R -3 m'
_symmetry_Int_Tables_number 166
_symmetry_space_group_name_Hall '-R 3 2"'
loop_
_atom_site_label
_atom_site_type_symbol
_atom_site_fract_x
_atom_site_fract_y
_atom_site_fract_z
Ba1 Ba 0.0000 0.5000 0.0000
Mo1 Mo 0.0000 0.0000 0.0000


4.
# LiCe2B2Rh5 PBE-GGA optimized geometry
# - M_tot: 0.14 μB/f.u.
# - Formation enthalpy at 0 K: -616 meV/atom
# - N(E_F): 0.74 states/eV/atom
data_LiCe2B2Rh5
_chemical_formula_sum 'Li2 Ce4 B4 Rh10'
_cell_length_a 9.5312
_cell_length_b 9.5312
_cell_length_c 3.2686
_cell_angle_alpha 90.00
_cell_angle_beta 90.00
_cell_angle_gamma 90.00
_symmetry_space_group_name_H-M 'P 4/m b m'
_symmetry_Int_Tables_number 127
_symmetry_space_group_name_Hall '-P 4 2ab'
loop_
_atom_site_label
_atom_site_type_symbol
_atom_site_fract_x
_atom_site_fract_y
_atom_site_fract_z
Li1 Li 0.0000 0.0000 0.0000
Ce1 Ce 0.1768 0.3232 0.0000
B1 B 0.1224 0.6224 0.0000
Rh1 Rh 0.0000 0.5000 0.5000
Rh2 Rh 0.0711 0.7779 0.5000


5.
# BePdS PBE-GGA optimized geometry
# - Raw formation energy: 0.194 eV per atom
# - M_tot: 0.00 μB/f.u.
# - N(E_F): 0.30 states/eV/atom
data_BePdS
_chemical_formula_sum 'Be2 Pd2 S2'
_cell_length_a 4.2991
_cell_length_b 4.2991
_cell_length_c 5.1450
_cell_angle_alpha 90.00
_cell_angle_beta 90.00
_cell_angle_gamma 120.00
_symmetry_space_group_name_H-M 'P 63/m m c'
_symmetry_Int_Tables_number 194
_symmetry_space_group_name_Hall '-P 6c 2c'
loop_
_atom_site_label
_atom_site_type_symbol
_atom_site_fract_x
_atom_site_fract_y
_atom_site_fract_z
Be1 Be 0.0000 0.0000 0.0000
Pd1 Pd 0.3333 0.6667 0.2500
S1 S 0.3333 0.6667 0.7500


6.
# Na2TeSe3 PBE-GGA optimized geometry
# - Raw formation energy: -0.632 eV per atom
# - M_tot: 0.00 μB/f.u.
data_Na2TeSe3
_chemical_formula_sum 'Na8 Te4 Se12'
_cell_length_a 6.0680
_cell_length_b 12.8579
_cell_length_c 8.9216
_cell_angle_alpha 90.00
_cell_angle_beta 94.23
_cell_angle_gamma 90.00
_symmetry_space_group_name_H-M 'P 1 21/c 1'
_symmetry_Int_Tables_number 14
loop_
_symmetry_equiv_pos_as_xyz
'x,y,z'
'-x,-y,-z'
'-x,y+1/2,-z+1/2'
'x,-y+1/2,z+1/2'
loop_
_atom_site_label
_atom_site_type_symbol
_atom_site_fract_x
_atom_site_fract_y
_atom_site_fract_z
Na1 Na 0.2372 0.2369 0.1355
Na2 Na 0.2548 0.5839 0.1373
Te1 Te 0.1992 0.5892 0.6903
Se1 Se 0.2174 0.0920 0.8692
Se2 Se 0.2477 0.0667 0.3628
Se3 Se 0.2638 0.7394 0.8764


7.
# Cs2MnAs2 PBE-GGA optimized geometry
# - M_tot: 3.02 μB/f.u.
# - Formation enthalpy at 0 K: -349 meV/atom
# - N(E_F): 0.63 states/eV/atom
data_Cs2MnAs2
_chemical_formula_sum 'Cs8 Mn4 As8'
_cell_length_a 7.8065
_cell_length_b 14.5461
_cell_length_c 6.5600
_cell_angle_alpha 90.00
_cell_angle_beta 90.00
_cell_angle_gamma 90.00
_symmetry_space_group_name_H-M 'I b a m'
_symmetry_Int_Tables_number 72
_symmetry_space_group_name_Hall '-I 2 2c'
loop_
_atom_site_label
_atom_site_type_symbol
_atom_site_fract_x
_atom_site_fract_y
_atom_site_fract_z
Cs1 Cs 0.1602 0.1496 0.0000
Mn1 Mn 0.0000 0.5000 0.2500
As1 As 0.1555 0.4115 0.0000


8.
# Zr2TaAl2Ru5 PBE-GGA optimized geometry
# - M_tot: 0.00 μB/f.u.
# - Formation enthalpy at 0 K: -519 meV/atom
# - N(E_F): 0.45 states/eV/atom
data_Zr2TaAl2Ru5
_chemical_formula_sum 'Zr4 Ta2 Al4 Ru10'
_cell_length_a 9.9097
_cell_length_b 9.9097
_cell_length_c 3.2797
_cell_angle_alpha 90.00
_cell_angle_beta 90.00
_cell_angle_gamma 90.00
_symmetry_space_group_name_H-M 'P 4/m b m'
_symmetry_Int_Tables_number 127
_symmetry_space_group_name_Hall '-P 4 2ab'
loop_
_atom_site_label
_atom_site_type_symbol
_atom_site_fract_x
_atom_site_fract_y
_atom_site_fract_z
Zr1 Zr 0.1720 0.3280 0.0000
Ta1 Ta 0.0000 0.0000 0.0000
Al1 Al 0.1268 0.6268 0.0000
Ru1 Ru 0.0000 0.5000 0.5000
Ru2 Ru 0.0659 0.7974 0.5000


9.
# CaAs2RhBr PBE-GGA optimized geometry
# - Raw formation energy: -0.301 eV per atom
# - M_tot: 0.00 μB/f.u.
# - N(E_F): 0.87 states/eV/atom
data_CaAs2RhBr
_chemical_formula_sum 'Ca1 As2 Rh1 Br1'
_cell_length_a 4.7595
_cell_length_b 4.7595
_cell_length_c 5.5779
_cell_angle_alpha 90.00
_cell_angle_beta 90.00
_cell_angle_gamma 90.00
_symmetry_space_group_name_H-M 'P 4/m m m'
_symmetry_Int_Tables_number 123
_symmetry_space_group_name_Hall '-P 4 2'
loop_
_atom_site_label
_atom_site_type_symbol
_atom_site_fract_x
_atom_site_fract_y
_atom_site_fract_z
Ca1 Ca 0.0000 0.0000 0.0000
As1 As 0.0000 0.5000 0.5000
Rh1 Rh 0.5000 0.5000 0.5000
Br1 Br 0.5000 0.5000 0.0000


10.
# AlBi2Pb PBE-GGA optimized geometry
# - M_tot: 0.00 μB/f.u.
# - Formation enthalpy at 0 K: 177 meV/atom
# - N(E_F): 0.66 states/eV/atom
data_AlBi2Pb
_chemical_formula_sum 'Al4 Bi8 Pb4'
_cell_length_a 6.8350
_cell_length_b 6.8350
_cell_length_c 13.5626
_cell_angle_alpha 90.00
_cell_angle_beta 90.00
_cell_angle_gamma 90.00
_symmetry_space_group_name_H-M 'I -4 2 d'
_symmetry_Int_Tables_number 122
_symmetry_space_group_name_Hall 'I -4 2bw'
loop_
_atom_site_label
_atom_site_type_symbol
_atom_site_fract_x
_atom_site_fract_y
_atom_site_fract_z
Al1 Al 0.0000 0.0000 0.0000
Bi1 Bi 0.2087 0.2500 0.1250
Pb1 Pb 0.0000 0.0000 0.5000


11.
# CsYSiO4 PBE-GGA optimized geometry
# - Raw formation energy: -2.876 eV per atom
# - M_tot: 0.00 μB/f.u.
# - N(E_F): 0.00 states/eV/atom
data_CsYSiO4
_chemical_formula_sum 'Cs2 Y2 Si2 O8'
_cell_length_a 5.6356
_cell_length_b 5.8074
_cell_length_c 8.0861
_cell_angle_alpha 90.00
_cell_angle_beta 108.28
_cell_angle_gamma 90.00
_symmetry_space_group_name_H-M 'P 1 21/m 1'
_symmetry_Int_Tables_number 11
loop_
_symmetry_equiv_pos_as_xyz
'x,y,z'
'-x,-y,-z'
'-x,y+1/2,-z'
'x,-y+1/2,z'
loop_
_atom_site_label
_atom_site_type_symbol
_atom_site_fract_x
_atom_site_fract_y
_atom_site_fract_z
Cs1 Cs 0.1978 0.2500 0.4294
Y1 Y 0.2848 0.2500 0.9616
Si1 Si 0.2574 0.7500 0.1471
O1 O 0.0597 0.7500 0.9474
O2 O 0.0826 0.7500 0.2751
O3 O 0.4520 0.5288 0.1653


12.
# CePmTe2 PBE-GGA optimized geometry
# - Raw formation energy: -1.393 eV per atom
# - M_tot: 1.32 μB/f.u.
# - N(E_F): 1.96 states/eV/atom
data_CePmTe2
_chemical_formula_sum 'Ce4 Pm4 Te8'
_cell_length_a 6.3334
_cell_length_b 6.3333
_cell_length_c 12.6662
_cell_angle_alpha 90.00
_cell_angle_beta 90.00
_cell_angle_gamma 90.00
_symmetry_space_group_name_H-M 'P m n a'
_symmetry_Int_Tables_number 53
loop_
_symmetry_equiv_pos_as_xyz
'x,y,z'
'-x,-y,-z'
'-x+1/2,-y,z+1/2'
'x+1/2,y,-z+1/2'
'x,-y,-z'
'-x,y,z'
'-x+1/2,y,-z+1/2'
'x+1/2,-y,z+1/2'
loop_
_atom_site_label
_atom_site_type_symbol
_atom_site_fract_x
_atom_site_fract_y
_atom_site_fract_z
Ce1 Ce 0.0000 0.2492 0.1250
Pm1 Pm 0.0000 0.2507 0.6250
Te1 Te 0.0000 0.2493 0.3752
Te2 Te 0.0000 0.2508 0.8748